An optimized crystal structure of Zn2Ag. Source: Alexandria via LeMat-Bulk, functional PBE.

Results
Its symmetry is No. 164. Its energy is -1.802 eV per atom. The value obtained for the energy relative to the elements is -0.002 eV/atom.

a = 4.438 Å, b = 4.438 Å, c = 2.786 Å
α = 90.00°, β = 90.00°, γ = 120.00°
Positions (direct):
Zn: 0.333 0.667 0.413
Zn: 0.667 0.333 0.587
Ag: 0.000 0.000 0.000